[1]
HoMgCdHg | PBE | optimized geometry

Results
SG ... No. 216
ρ ... 9.06 g/cm3
E_tot ... -2.219 eV/atom

Unit cell a=5.0681 b=5.0681 c=5.0681 alpha=60.00 beta=60.00 gamma=60.00
Positions (direct):
Ho (0.0000, 0.0000, 0.0000)
Mg (0.5000, 0.5000, 0.5000)
Cd (0.7500, 0.7500, 0.7500)
Hg (0.2500, 0.2500, 0.2500)

***

[2]
NaHoCd2Hg4 | PBE | optimized geometry

Results
SG ... No. 166
ρ ... 10.80 g/cm3
E_tot ... -1.362 eV/atom

Unit cell a=8.8885 b=8.8885 c=8.8885 alpha=33.13 beta=33.13 gamma=33.13
Positions (direct):
Na (0.0000, 0.0000, 0.0000)
Ho (0.5000, 0.5000, 0.5000)
Cd (0.2504, 0.2504, 0.2504)
Cd (0.7496, 0.7496, 0.7496)
Hg (0.1240, 0.1240, 0.1240)
Hg (0.3741, 0.3741, 0.3741)
Hg (0.6259, 0.6259, 0.6259)
Hg (0.8760, 0.8760, 0.8760)

***

| no. | total magnetization (μB per atom) |
| --- | --- |
| 1 | 0.00 |
| 2 | 0.00 |